Compound: TcPt2Cl
Source: the Alexandria database
Functional: PBE
Structure: relaxed

a b c (Å): 4.538 4.538 4.538
angles (deg): 60.00 60.00 60.00
Positions (direct):
Pt 0.750 0.750 0.750
Pt 0.250 0.250 0.250
Tc 0.500 0.500 0.500
Cl 0.000 0.000 0.000

Values from the calculation:
As for the formation energy (no corrections): 3.04 eV per formula unit. For the polymorph energy (0 for the lowest one), the calculation gives 692.1 meV per atom. The space group is Fm-3m (225). The energy is -5.314 eV/atom. The density of states at the Fermi level comes out at 1.94 states/eV/cell.


Compound: TcPtCl2
Source: the Alexandria database
Functional: PBE
Structure: relaxed

a b c (Å): 4.631 4.631 4.631
angles (deg): 60.00 60.00 60.00
Positions (direct):
Tc 0.250 0.250 0.250
Cl 0.750 0.750 0.750
Pt 0.500 0.500 0.500
Cl 0.000 0.000 0.000

Values from the calculation:
As for the formation energy (no corrections): 3.02 eV per formula unit. For the polymorph energy (0 for the lowest one), the calculation gives 869.2 meV per atom. The space group is F-43m (216). The energy is -4.270 eV/atom. The density of states at the Fermi level comes out at 4.36 states/eV/cell.


Compound: TcPt2Cl
Source: the Alexandria database
Functional: PBE
Structure: relaxed

a b c (Å): 2.795 2.795 9.627
angles (deg): 90.00 90.00 120.04
Positions (direct):
Pt 0.000 0.000 0.488
Tc 0.500 0.500 0.250
Cl 0.500 0.500 0.750
Pt 0.000 0.000 0.012

Values from the calculation:
As for the formation energy (no corrections): 1.39 eV per formula unit. For the polymorph energy (0 for the lowest one), the calculation gives 279.1 meV per atom. The space group is Cmmm (65). The energy is -5.727 eV/atom. The density of states at the Fermi level comes out at 4.92 states/eV/cell.


Compound: TcPt2Cl
Source: the Alexandria database
Functional: PBE
Structure: relaxed

a b c (Å): 4.997 4.997 4.997
angles (deg): 133.87 133.87 67.29
Positions (direct):
Tc 0.250 0.750 0.500
Cl 0.750 0.250 0.500
Pt 0.500 0.500 0.000
Pt 0.000 0.000 0.000

Values from the calculation:
As for the formation energy (no corrections): 2.95 eV per formula unit. For the polymorph energy (0 for the lowest one), the calculation gives 669.9 meV per atom. The space group is I4/mmm (139). The energy is -5.336 eV/atom. The density of states at the Fermi level comes out at 5.43 states/eV/cell.


Compound: TcPtCl2
Source: the Alexandria database
Functional: PBE
Structure: relaxed

a b c (Å): 2.941 5.505 4.233
angles (deg): 90.00 90.00 90.00
Positions (direct):
Cl 0.000 0.000 0.000
Pt 0.500 0.000 0.500
Cl 0.500 0.500 0.000
Tc 0.000 0.500 0.500

Values from the calculation:
As for the formation energy (no corrections): 2.35 eV per formula unit. For the polymorph energy (0 for the lowest one), the calculation gives 700.8 meV per atom. The space group is Pmmm (47). The energy is -4.438 eV/atom. The density of states at the Fermi level comes out at 2.98 states/eV/cell.


Compound: TcPtCl2
Source: the Alexandria database
Functional: PBE
Structure: relaxed

a b c (Å): 5.906 5.906 6.267
angles (deg): 61.89 61.89 90.00
Positions (direct):
Pt 0.750 0.250 0.500
Tc 0.250 0.750 0.500
Cl 0.601 0.125 0.250
Cl 0.149 0.625 0.250
Tc 0.500 0.500 0.000
Cl 0.875 0.851 0.750
Pt 0.000 0.000 0.000
Cl 0.375 0.399 0.750

Values from the calculation:
As for the formation energy (no corrections): 3.39 eV per formula unit. For the polymorph energy (0 for the lowest one), the calculation gives 961.0 meV per atom. The space group is I-42d (122). The energy is -4.178 eV/atom. The density of states at the Fermi level comes out at 8.73 states/eV/cell.


Compound: TcPt2Cl
Source: the Alexandria database
Functional: PBE
Structure: relaxed

a b c (Å): 4.576 3.765 3.765
angles (deg): 90.00 90.00 90.00
Positions (direct):
Cl 0.500 0.000 0.500
Tc 0.500 0.500 0.000
Pt 0.000 0.500 0.500
Pt 0.000 0.000 0.000

Values from the calculation:
As for the formation energy (no corrections): 3.22 eV per formula unit. For the polymorph energy (0 for the lowest one), the calculation gives 738.3 meV per atom. The space group is P4/mmm (123). The energy is -5.267 eV/atom. The density of states at the Fermi level comes out at 5.87 states/eV/cell.


Compound: TcPtCl
Source: the Alexandria database
Functional: PBE
Structure: relaxed

a b c (Å): 6.807 6.807 6.807
angles (deg): 155.26 155.26 35.27
Positions (direct):
Pt 0.708 0.708 0.000
Cl 0.959 0.959 0.000
Tc 0.333 0.333 0.000

Values from the calculation:
As for the formation energy (no corrections): 0.77 eV per formula unit. For the polymorph energy (0 for the lowest one), the calculation gives 71.2 meV per atom. The space group is I4mm (107). The energy is -5.828 eV/atom. The density of states at the Fermi level comes out at 2.89 states/eV/cell.


Compound: TcPtCl
Source: the Alexandria database
Functional: PBE
Structure: relaxed

a b c (Å): 7.832 7.551 2.879
angles (deg): 84.76 73.76 21.48
Positions (direct):
Tc 0.658 0.658 0.342
Pt 0.313 0.313 0.687
Cl 0.029 0.029 0.971

Values from the calculation:
As for the formation energy (no corrections): 1.03 eV per formula unit. For the polymorph energy (0 for the lowest one), the calculation gives 158.6 meV per atom. The space group is Fmm2 (42). The energy is -5.741 eV/atom. The density of states at the Fermi level comes out at 2.80 states/eV/cell.


Compound: TcPt4Cl
Source: the Alexandria database
Functional: PBE
Structure: relaxed

a b c (Å): 5.318 5.318 5.318
angles (deg): 60.00 60.00 60.00
Positions (direct):
Cl 0.000 0.000 0.000
Pt 0.375 0.375 0.874
Pt 0.874 0.375 0.375
Pt 0.375 0.375 0.375
Tc 0.750 0.750 0.750
Pt 0.375 0.874 0.375

Values from the calculation:
As for the formation energy (no corrections): 3.40 eV per formula unit. The space group is F-43m (216). The energy is -5.497 eV/atom. The density of states at the Fermi level comes out at 4.60 states/eV/cell.


Compound: TcPt3Cl
Source: the Alexandria database
Functional: PBE
Structure: relaxed

a b c (Å): 4.828 4.828 4.828
angles (deg): 90.00 90.00 90.00
Positions (direct):
Tc 0.000 0.000 0.000
Cl 0.500 0.500 0.500
Pt 0.500 0.000 0.000
Pt 0.000 0.500 0.000
Pt 0.000 0.000 0.500

Values from the calculation:
As for the formation energy (no corrections): 6.48 eV per formula unit. For the polymorph energy (0 for the lowest one), the calculation gives 3.9 meV per atom. The space group is Pm-3m (221). The energy is -4.770 eV/atom. The density of states at the Fermi level comes out at 5.24 states/eV/cell.


Compound: TcPt2Cl
Source: the Alexandria database
Functional: PBE
Structure: relaxed

a b c (Å): 2.861 2.861 8.475
angles (deg): 90.00 90.00 90.00
Positions (direct):
Pt 0.500 0.500 0.282
Pt 0.000 0.000 0.051
Cl 0.500 0.500 0.681
Tc 0.000 0.000 0.486

Values from the calculation:
As for the formation energy (no corrections): 0.80 eV per formula unit. For the polymorph energy (0 for the lowest one), the calculation gives 132.4 meV per atom. The space group is P4mm (99). The energy is -5.873 eV/atom. The density of states at the Fermi level comes out at 2.67 states/eV/cell.


Compound: TcPtCl
Source: the Alexandria database
Functional: PBE
Structure: relaxed

a b c (Å): 3.964 3.964 3.610
angles (deg): 90.00 90.00 120.00
Positions (direct):
Pt 0.667 0.333 0.348
Tc 0.333 0.667 0.726
Cl 0.000 0.000 0.925

Values from the calculation:
As for the formation energy (no corrections): 1.86 eV per formula unit. For the polymorph energy (0 for the lowest one), the calculation gives 434.8 meV per atom. The space group is P3m1 (156). The energy is -5.465 eV/atom. The density of states at the Fermi level comes out at 3.27 states/eV/cell.


Compound: TcPtCl2
Source: the Alexandria database
Functional: PBE
Structure: relaxed

a b c (Å): 6.072 6.072 6.072
angles (deg): 145.03 145.03 50.29
Positions (direct):
Cl 0.250 0.750 0.500
Pt 0.500 0.500 0.000
Cl 0.000 0.000 0.000
Tc 0.750 0.250 0.500

Values from the calculation:
As for the formation energy (no corrections): 2.92 eV per formula unit. For the polymorph energy (0 for the lowest one), the calculation gives 844.1 meV per atom. The space group is I-4m2 (119). The energy is -4.295 eV/atom. The density of states at the Fermi level comes out at 2.37 states/eV/cell.


Compound: TcPt2Cl
Source: the Alexandria database
Functional: PBE
Structure: relaxed

a b c (Å): 2.864 2.829 8.109
angles (deg): 90.05 90.00 90.00
Positions (direct):
Pt 0.000 0.751 0.475
Tc 0.500 0.250 0.250
Pt 0.000 0.749 0.025
Cl 0.500 0.750 0.750

Values from the calculation:
As for the formation energy (no corrections): 0.27 eV per formula unit. For the polymorph energy (0 for the lowest one), the calculation gives 0.0 meV per atom. The space group is Pmmm (47). The energy is -6.006 eV/atom. The density of states at the Fermi level comes out at 2.10 states/eV/cell.